An optimized crystal structure of Hf2ZrFe2. Source: Alexandria via LeMat-Bulk, functional PBE.

The value obtained for the calculated density is 10.7 g/cm³. The crystal system is tetragonal. The calculation puts the spin magnetization at 0.169 μB per atom. The density of states at the Fermi level is 5.600 states/eV/f.u. Its energy of formation is -88 meV per atom. As for the uncorrected energy: -91.6 eV per cell.

It has space group P4/mbm (No. 127), with a = 7.1873 Å, b = 7.1873 Å, c = 3.3603 Å, α = 90.00°, β = 90.00° and γ = 90.00°. Symmetry generates all atoms from Hf at (0.1585, 0.3415, 0.0000), Zr at (0.0000, 0.0000, 0.5000) and Fe at (0.1360, 0.6360, 0.5000).

***

An optimized crystal structure of CoReSn3. Source: Alexandria via LeMat-Bulk, functional PBE.

The value obtained for the calculated density is 8.9 g/cm³. The crystal system is cubic. The calculation puts the spin magnetization at 0.462 μB per atom. The density of states at the Fermi level is 3.588 states/eV/f.u. Its energy of formation is 1000 meV per atom. As for the uncorrected energy: -26.6 eV per cell.

It has space group Pm-3m (No. 221), with a = 4.8204 Å, b = 4.8204 Å, c = 4.8204 Å, α = 90.00°, β = 90.00° and γ = 90.00°. Symmetry generates all atoms from Co at (0.0000, 0.0000, 0.0000), Re at (0.5000, 0.5000, 0.5000) and Sn at (0.0000, 0.0000, 0.5000).

***

An optimized crystal structure of MgAg3Au5. Source: Alexandria via LeMat-Bulk, functional PBE.

The value obtained for the calculated density is 12.5 g/cm³. The crystal system is tetragonal. The calculation puts the spin magnetization at 0.000 μB per atom. The density of states at the Fermi level is 1.985 states/eV/f.u. Its energy of formation is 96 meV per atom. As for the uncorrected energy: -102.7 eV per cell.

It has space group I4/mcm (No. 140), with a = 7.8777 Å, b = 7.8777 Å, c = 11.4572 Å, α = 90.00°, β = 90.00° and γ = 90.00°. Symmetry generates all atoms from Mg at (0.0000, 0.5000, 0.2500), Ag at (0.0000, 0.0000, 0.2500), Ag at (0.1137, 0.3863, 0.0000), Au at (0.0000, 0.0000, 0.0000) and Au at (0.1980, 0.3020, 0.3606).

***

An optimized crystal structure of RbCaLaF6. Source: Alexandria via LeMat-Bulk, functional PBE.

The value obtained for the calculated density is 2.8 g/cm³. The crystal system is orthorhombic. The calculation puts the spin magnetization at 0.008 μB per atom. The density of states at the Fermi level is 0.000 states/eV/f.u. As for the uncorrected energy: -209.7 eV per cell.

It has space group Imma (No. 74), with a = 8.3360 Å, b = 8.8020 Å, c = 12.1650 Å, α = 90.00°, β = 90.00° and γ = 90.00°. Symmetry generates all atoms from Rb at (0.0000, 0.2500, 0.0246), Ca at (0.2500, 0.2500, 0.7500), La at (0.0000, 0.0000, 0.5000), F at (0.0000, 0.2500, 0.4274), F at (0.0000, 0.2500, 0.8058) and F at (0.2109, 0.0753, 0.6124).

***

An optimized crystal structure of Zr3Te. Source: Alexandria via LeMat-Bulk, functional PBE.

The value obtained for the calculated density is 6.9 g/cm³. The crystal system is hexagonal. The calculation puts the spin magnetization at 0.000 μB per atom. The density of states at the Fermi level is 2.063 states/eV/f.u. As for the uncorrected energy: -30.0 eV per cell.

It has space group P-6m2 (No. 187), with a = 3.4669 Å, b = 3.4669 Å, c = 9.2345 Å, α = 90.00°, β = 90.00° and γ = 120.00°. Symmetry generates all atoms from Zr at (0.0000, 0.0000, 0.0000), Zr at (0.6667, 0.3333, 0.2654) and Te at (0.0000, 0.0000, 0.5000).

***

An optimized crystal structure of Tl2CdIn7Ga2. Source: Alexandria via LeMat-Bulk, functional PBE.

The value obtained for the calculated density is 6.6 g/cm³. The crystal system is orthorhombic. The calculation puts the spin magnetization at 0.000 μB per atom. The density of states at the Fermi level is 5.498 states/eV/f.u. Its energy of formation is 130 meV per atom. As for the uncorrected energy: -58.6 eV per cell.

It has space group Imm2 (No. 44), with a = 4.6139 Å, b = 23.7699 Å, c = 6.7063 Å, α = 90.00°, β = 90.00° and γ = 90.00°. Symmetry generates all atoms from Tl at (0.0000, 0.2232, 0.0000), Cd at (0.0000, 0.5000, 0.7904), In at (0.0000, 0.0000, 0.6594), In at (0.0000, 0.0790, 0.2102), In at (0.0000, 0.1891, 0.4715), In at (0.0000, 0.3962, 0.0631) and Ga at (0.0000, 0.1105, 0.8131).

***

What is the formula in the first record? Hf2ZrFe2

***

Which formula does entry 3 have? MgAg3Au5

***

Look up the spin magnetization of the first one. 0.169 μB per atom